one:
AsRhWSe2: optimized geometry, GGA-PBE.

Unit cell a=4.7757 b=4.7757 c=4.6348 alpha=90.00 beta=90.00 gamma=90.00
Element x y z (fractional)
1 As 0.0000 0.0000 0.0000
2 Rh 0.0000 0.0000 0.5000
3 W 0.5000 0.5000 0.0000
4 Se 0.0000 0.5000 0.5000
5 Se 0.5000 0.0000 0.5000

Calculated values
The symmetry is P4/mmm, No. 123.

two:
AsRhWSe2: optimized geometry, GGA-PBE.

Unit cell a=4.8444 b=4.8444 c=4.9000 alpha=90.00 beta=90.00 gamma=90.00
Element x y z (fractional)
1 As 0.0000 0.0000 0.0000
2 Rh 0.5000 0.5000 0.0000
3 W 0.0000 0.0000 0.5000
4 Se 0.0000 0.5000 0.5000
5 Se 0.5000 0.0000 0.5000

Calculated values
The symmetry is P4/mmm, No. 123.

Most stable: two. Least stable: one.

one:
YAsRhSe2: optimized geometry, GGA-PBE.

Unit cell a=5.3543 b=5.3543 c=5.4359 alpha=90.00 beta=90.00 gamma=90.00
Element x y z (fractional)
1 Y 0.0000 0.0000 0.0000
2 As 0.0000 0.0000 0.5000
3 Rh 0.5000 0.5000 0.5000
4 Se 0.0000 0.5000 0.0000
5 Se 0.5000 0.0000 0.0000

Calculated values
The symmetry is P4/mmm, No. 123.

two:
YAsRhSe2: optimized geometry, GGA-PBE.

Unit cell a=5.0643 b=5.0643 c=4.5683 alpha=90.00 beta=90.00 gamma=90.00
Element x y z (fractional)
1 Y 0.0000 0.0000 0.0000
2 As 0.5000 0.5000 0.0000
3 Rh 0.5000 0.5000 0.5000
4 Se 0.0000 0.5000 0.5000
5 Se 0.5000 0.0000 0.5000

Calculated values
The symmetry is P4/mmm, No. 123.

Most stable: two. Least stable: one.

one:
ZnAsRhSe2: optimized geometry, GGA-PBE.

Unit cell a=4.8325 b=4.8325 c=4.6683 alpha=90.00 beta=90.00 gamma=90.00
Element x y z (fractional)
1 Zn 0.0000 0.0000 0.0000
2 As 0.0000 0.0000 0.5000
3 Rh 0.5000 0.5000 0.5000
4 Se 0.0000 0.5000 0.0000
5 Se 0.5000 0.0000 0.0000

Calculated values
The symmetry is P4/mmm, No. 123.

two:
ZnAsRhSe2: optimized geometry, GGA-PBE.

Unit cell a=5.0870 b=5.0870 c=4.5489 alpha=90.00 beta=90.00 gamma=90.00
Element x y z (fractional)
1 Zn 0.0000 0.0000 0.0000
2 As 0.5000 0.5000 0.0000
3 Rh 0.5000 0.5000 0.5000
4 Se 0.0000 0.5000 0.5000
5 Se 0.5000 0.0000 0.5000

Calculated values
The symmetry is P4/mmm, No. 123.

Most stable: two. Least stable: one.

one:
SiAsRh3: optimized geometry, GGA-PBE.

Unit cell a=4.5424 b=4.5424 c=4.5424 alpha=90.00 beta=90.00 gamma=90.00
Element x y z (fractional)
1 Si 0.0000 0.0000 0.0000
2 As 0.5000 0.5000 0.5000
3 Rh 0.0000 0.5000 0.5000
4 Rh 0.5000 0.0000 0.5000
5 Rh 0.5000 0.5000 0.0000

Calculated values
The symmetry is Pm-3m, No. 221.

two:
SiAsRh3: optimized geometry, GGA-PBE.

Unit cell a=4.4279 b=4.4279 c=4.4279 alpha=90.00 beta=90.00 gamma=90.00
Element x y z (fractional)
1 Si 0.0000 0.0000 0.0000
2 As 0.5000 0.5000 0.5000
3 Rh 0.0000 0.0000 0.5000
4 Rh 0.0000 0.5000 0.0000
5 Rh 0.5000 0.0000 0.0000

Calculated values
The symmetry is Pm-3m, No. 221.

Most stable: two. Least stable: one.

one:
Sm3As4Rh4: optimized geometry, GGA-PBE.

Unit cell a=8.0775 b=8.0775 c=8.0775 alpha=150.23 beta=127.18 gamma=61.82
Element x y z (fractional)
1 Sm 0.0000 0.0000 0.0000
2 Sm 0.3749 0.8749 0.5000
3 Sm 0.6251 0.1251 0.5000
4 As 0.2166 0.2166 0.0000
5 As 0.2927 0.5000 0.7927
6 As 0.7073 0.5000 0.2073
7 As 0.7834 0.7834 0.0000
8 Rh 0.0240 0.3218 0.7022
9 Rh 0.3804 0.6782 0.7022
10 Rh 0.6196 0.3218 0.2978
11 Rh 0.9760 0.6782 0.2978

Calculated values
The symmetry is Immm, No. 71.

two:
Sm3As4Rh4: optimized geometry, GGA-PBE.

Unit cell a=12.9340 b=12.9340 c=12.9340 alpha=162.14 beta=161.13 gamma=26.10
Element x y z (fractional)
1 Sm 0.0000 0.0000 0.0000
2 Sm 0.3534 0.8534 0.5000
3 Sm 0.6466 0.1466 0.5000
4 As 0.1919 0.6919 0.5000
5 As 0.4487 0.4487 0.0000
6 As 0.5513 0.5513 0.0000
7 As 0.8081 0.3081 0.5000
8 Rh 0.0958 0.5958 0.5000
9 Rh 0.2491 0.2491 0.0000
10 Rh 0.7509 0.7509 0.0000
11 Rh 0.9042 0.4042 0.5000

Calculated values
The symmetry is Immm, No. 71.

Most stable: two. Least stable: one.

one:
SnAsRh3: optimized geometry, GGA-PBE.

Unit cell a=7.9270 b=7.9270 c=4.3475 alpha=90.00 beta=90.00 gamma=137.84
Element x y z (fractional)
1 Sn 0.1262 0.8738 0.0000
2 Sn 0.8738 0.1262 0.0000
3 As 0.3828 0.6172 0.5000
4 As 0.6172 0.3828 0.5000
5 Rh 0.0000 0.5000 0.5000
6 Rh 0.2281 0.2281 0.5000
7 Rh 0.3128 0.6872 0.0000
8 Rh 0.5000 0.0000 0.5000
9 Rh 0.6872 0.3128 0.0000
10 Rh 0.7719 0.7719 0.5000

Calculated values
The symmetry is Cmmm, No. 65.

two:
SnAsRh3: optimized geometry, GGA-PBE.

Unit cell a=4.2690 b=7.3331 c=5.7149 alpha=90.00 beta=90.00 gamma=90.00
Element x y z (fractional)
1 Sn 0.0000 0.1682 0.0000
2 Sn 0.0000 0.8318 0.5000
3 As 0.5000 0.3442 0.5734
4 As 0.5000 0.6558 0.0734
5 Rh 0.0000 0.1952 0.4758
6 Rh 0.0000 0.8048 0.9758
7 Rh 0.5000 0.0443 0.7639
8 Rh 0.5000 0.3375 0.1582
9 Rh 0.5000 0.6625 0.6582
10 Rh 0.5000 0.9557 0.2639

Calculated values
The symmetry is Pmc2_1, No. 26.

three:
SnAsRh3: optimized geometry, GGA-PBE.

Unit cell a=4.5783 b=4.5783 c=4.5783 alpha=90.00 beta=90.00 gamma=90.00
Element x y z (fractional)
1 Sn 0.0000 0.0000 0.0000
2 As 0.5000 0.5000 0.5000
3 Rh 0.0000 0.5000 0.5000
4 Rh 0.5000 0.0000 0.5000
5 Rh 0.5000 0.5000 0.0000

Calculated values
The symmetry is Pm-3m, No. 221.

four:
SnAsRh3: optimized geometry, GGA-PBE.

Unit cell a=4.8348 b=4.8348 c=4.8348 alpha=90.00 beta=90.00 gamma=90.00
Element x y z (fractional)
1 Sn 0.0000 0.0000 0.0000
2 As 0.5000 0.5000 0.5000
3 Rh 0.0000 0.0000 0.5000
4 Rh 0.0000 0.5000 0.0000
5 Rh 0.5000 0.0000 0.0000

Calculated values
The symmetry is Pm-3m, No. 221.

Most stable: two. Least stable: four.